Entry 1:
The following is a DFT calculation (PBE) of an optimized crystal structure of LaYSb.

Lattice parameters (Å, degrees): 4.6099 4.6099 8.8546 90.00 90.00 90.00
Fractional coordinates of all 6 atoms:
La: 0.7500 0.7500 0.3523
La: 0.2500 0.2500 0.6477
Y: 0.2500 0.7500 0.0000
Y: 0.7500 0.2500 0.0000
Sb: 0.2500 0.2500 0.2660
Sb: 0.7500 0.7500 0.7340

Summary:
symmetry = P4/nmm, No. 129
DOS at the Fermi energy = 3.48 states/eV/f.u.
spin magnetization = 0.00 μB/cell
E_form (uncorrected) = -0.88 eV/atom

---

Entry 2:
The following is a DFT calculation (PBE) of an optimized crystal structure of La2YSb.

Lattice parameters (Å, degrees): 4.0782 4.0782 7.6130 90.00 90.00 90.00
Fractional coordinates of all 4 atoms:
La: 0.0000 0.0000 0.9913
La: 0.5000 0.5000 0.2814
Sb: 0.0000 0.0000 0.5196
Y: 0.5000 0.5000 0.7077

Summary:
symmetry = P4mm, No. 99
DOS at the Fermi energy = 5.63 states/eV/f.u.
spin magnetization = 0.22 μB/cell
E_form (uncorrected) = -0.53 eV/atom

---

Entry 3:
The following is a DFT calculation (PBE) of an optimized crystal structure of LaYSb.

Lattice parameters (Å, degrees): 6.2001 6.1999 4.0837 70.77 70.77 38.46
Fractional coordinates of all 3 atoms:
La: 0.9889 0.9889 0.0111
Sb: 0.3191 0.3191 0.6809
Y: 0.6920 0.6920 0.3080

Summary:
symmetry = I4mm, No. 107
DOS at the Fermi energy = 3.00 states/eV/f.u.
spin magnetization = 0.82 μB/cell
E_form (uncorrected) = -0.67 eV/atom

---

Entry 4:
The following is a DFT calculation (PBE) of an optimized crystal structure of La2Y2Sb.

Lattice parameters (Å, degrees): 8.0968 8.0968 5.0398 90.00 90.00 90.00
Fractional coordinates of all 10 atoms:
Y: 0.3519 0.8519 0.0000
Y: 0.8519 0.6481 0.0000
Y: 0.6481 0.1481 0.0000
Y: 0.1481 0.3519 0.0000
Sb: 0.0000 0.0000 0.0000
Sb: 0.5000 0.5000 0.0000
La: 0.1570 0.6570 0.5000
La: 0.6570 0.8430 0.5000
La: 0.8430 0.3430 0.5000
La: 0.3430 0.1570 0.5000

Summary:
symmetry = P4/mbm, No. 127
ΔE to the lowest computed polymorph = 0 meV per atom
DOS at the Fermi energy = 4.66 states/eV/f.u.
spin magnetization = 0.00 μB/cell
E_form (uncorrected) = -0.30 eV/atom

---

Entry 5:
The following is a DFT calculation (PBE) of an optimized crystal structure of La2YSb3.

Lattice parameters (Å, degrees): 7.8830 7.8830 7.8730 99.62 99.62 120.00
Fractional coordinates of all 12 atoms:
La: 0.8333 0.1667 0.5000
La: 0.3333 0.6667 0.0000
La: 0.1689 0.8311 0.5000
La: 0.4978 0.5022 0.5000
Y: 0.0008 0.9992 0.0000
Y: 0.6658 0.3342 0.0000
Sb: 0.5939 0.9272 0.7603
Sb: 0.0728 0.4061 0.2397
Sb: 0.9122 0.5857 0.7575
Sb: 0.2524 0.2456 0.7575
Sb: 0.4143 0.0878 0.2425
Sb: 0.7544 0.7476 0.2425

Summary:
symmetry = C2/m, No. 12
ΔE to the lowest computed polymorph = 0 meV per atom
DOS at the Fermi energy = 0.93 states/eV/f.u.
spin magnetization = 0.00 μB/cell
E_form (uncorrected) = -1.23 eV/atom

---

Entry 6:
The following is a DFT calculation (PBE) of an optimized crystal structure of La2YSb.

Lattice parameters (Å, degrees): 5.5420 5.5420 5.5420 60.00 60.00 60.00
Fractional coordinates of all 4 atoms:
La: 0.0000 0.0000 0.0000
La: 0.2500 0.2500 0.2500
Sb: 0.5000 0.5000 0.5000
Y: 0.7500 0.7500 0.7500

Summary:
symmetry = F-43m, No. 216
DOS at the Fermi energy = 4.28 states/eV/f.u.
spin magnetization = 0.00 μB/cell
E_form (uncorrected) = -0.33 eV/atom

---

Entry 7:
The following is a DFT calculation (PBE) of an optimized crystal structure of La2YSb.

Lattice parameters (Å, degrees): 10.2311 10.2311 10.2311 23.14 23.14 23.14
Fractional coordinates of all 4 atoms:
La: 0.0016 0.0016 0.0016
La: 0.2335 0.2335 0.2335
Sb: 0.4970 0.4970 0.4970
Y: 0.7679 0.7679 0.7679

Summary:
symmetry = R3m, No. 160
DOS at the Fermi energy = 3.14 states/eV/f.u.
spin magnetization = 0.05 μB/cell
E_form (uncorrected) = -0.39 eV/atom

---

Entry 8:
The following is a DFT calculation (PBE) of an optimized crystal structure of LaYSb.

Lattice parameters (Å, degrees): 5.2223 5.2223 5.2223 60.00 60.00 60.00
Fractional coordinates of all 3 atoms:
La: 0.5000 0.5000 0.5000
Sb: 0.7500 0.7500 0.7500
Y: 0.0000 0.0000 0.0000

Summary:
symmetry = F-43m, No. 216
DOS at the Fermi energy = 2.66 states/eV/f.u.
spin magnetization = 0.00 μB/cell
E_form (uncorrected) = -0.63 eV/atom

---

Entry 9:
The following is a DFT calculation (PBE) of an optimized crystal structure of La2YSb.

Lattice parameters (Å, degrees): 5.0520 4.2182 6.6231 71.34 90.00 90.00
Fractional coordinates of all 4 atoms:
La: 0.0000 0.9718 0.9295
La: 0.5000 0.2744 0.3281
Sb: 0.0000 0.6983 0.4793
Y: 0.5000 0.5555 0.7631

Summary:
symmetry = Pm, No. 6
DOS at the Fermi energy = 4.65 states/eV/f.u.
spin magnetization = 0.00 μB/cell
E_form (uncorrected) = -0.55 eV/atom

---

Entry 10:
The following is a DFT calculation (PBE) of an optimized crystal structure of LaY3Sb.

Lattice parameters (Å, degrees): 5.5679 5.5679 5.5679 90.00 90.00 90.00
Fractional coordinates of all 5 atoms:
Y: 0.0000 0.5000 0.0000
Y: 0.0000 0.0000 0.5000
Y: 0.5000 0.0000 0.0000
Sb: 0.5000 0.5000 0.5000
La: 0.0000 0.0000 0.0000

Summary:
symmetry = Pm-3m, No. 221
ΔE to the lowest computed polymorph = 728 meV per atom
DOS at the Fermi energy = 6.05 states/eV/f.u.
spin magnetization = 0.00 μB/cell
E_form (uncorrected) = 0.71 eV/atom

---

Entry 11:
The following is a DFT calculation (PBE) of an optimized crystal structure of LaYSb4.

Lattice parameters (Å, degrees): 6.3028 6.3028 6.3028 60.00 60.00 60.00
Fractional coordinates of all 6 atoms:
La: 0.0000 0.0000 0.0000
Y: 0.7500 0.7500 0.7500
Sb: 0.8736 0.3755 0.3755
Sb: 0.3755 0.3755 0.8736
Sb: 0.3755 0.8736 0.3755
Sb: 0.3755 0.3755 0.3755

Summary:
symmetry = F-43m, No. 216
DOS at the Fermi energy = 6.49 states/eV/f.u.
spin magnetization = 0.02 μB/cell
E_form (uncorrected) = -0.27 eV/atom

---

Entry 12:
The following is a DFT calculation (PBE) of an optimized crystal structure of La2YSb2.

Lattice parameters (Å, degrees): 8.4495 8.4495 4.4287 90.00 90.00 90.00
Fractional coordinates of all 10 atoms:
Y: 0.0000 0.0000 0.0000
Y: 0.5000 0.5000 0.0000
Sb: 0.3486 0.8486 0.0000
Sb: 0.8486 0.6514 0.0000
Sb: 0.6514 0.1514 0.0000
Sb: 0.1514 0.3486 0.0000
La: 0.1533 0.6533 0.5000
La: 0.6533 0.8467 0.5000
La: 0.8467 0.3467 0.5000
La: 0.3467 0.1533 0.5000

Summary:
symmetry = P4/mbm, No. 127
ΔE to the lowest computed polymorph = 0 meV per atom
DOS at the Fermi energy = 17.72 states/eV/f.u.
spin magnetization = 0.00 μB/cell
E_form (uncorrected) = -1.05 eV/atom

---

Entry 13:
The following is a DFT calculation (PBE) of an optimized crystal structure of LaY3Sb4.

Lattice parameters (Å, degrees): 4.4569 7.7068 7.7068 109.48 90.00 90.00
Fractional coordinates of all 8 atoms:
La: 0.5000 0.0000 0.0000
Y: 0.0000 0.0000 0.5000
Y: 0.5000 0.5000 0.5000
Y: 0.0000 0.5000 0.0000
Sb: 0.0000 0.2587 0.2587
Sb: 0.5000 0.7458 0.2542
Sb: 0.0000 0.7413 0.7413
Sb: 0.5000 0.2542 0.7458

Summary:
symmetry = Cmmm, No. 65
DOS at the Fermi energy = 1.10 states/eV/f.u.
spin magnetization = 0.00 μB/cell
E_form (uncorrected) = -1.19 eV/atom

---

Entry 14:
The following is a DFT calculation (PBE) of an optimized crystal structure of La2YSb.

Lattice parameters (Å, degrees): 5.7861 3.6987 6.1403 77.68 90.00 90.00
Fractional coordinates of all 4 atoms:
La: 0.0000 0.0834 0.0231
La: 0.0000 0.4166 0.4769
Sb: 0.5000 0.2500 0.2500
Y: 0.5000 0.7500 0.7500

Summary:
symmetry = P2/m, No. 10
DOS at the Fermi energy = 4.99 states/eV/f.u.
spin magnetization = 0.00 μB/cell
E_form (uncorrected) = -0.36 eV/atom

---

Entry 15:
The following is a DFT calculation (PBE) of an optimized crystal structure of La2YSb.

Lattice parameters (Å, degrees): 6.1954 6.1954 6.1954 134.30 133.26 67.43
Fractional coordinates of all 4 atoms:
La: 0.0001 0.0001 0.0000
La: 0.2517 0.7517 0.5000
Sb: 0.5018 0.5018 0.0000
Y: 0.7464 0.2464 0.5000

Summary:
symmetry = Imm2, No. 44
DOS at the Fermi energy = 4.97 states/eV/f.u.
spin magnetization = 0.00 μB/cell
E_form (uncorrected) = -0.52 eV/atom

---

Entry 16:
The following is a DFT calculation (PBE) of an optimized crystal structure of LaYSb.

Lattice parameters (Å, degrees): 5.1432 5.1432 4.2250 90.00 90.00 120.00
Fractional coordinates of all 3 atoms:
La: 0.0000 0.0000 0.0315
Sb: 0.6667 0.3333 0.4230
Y: 0.3333 0.6667 0.5454

Summary:
symmetry = P3m1, No. 156
DOS at the Fermi energy = 3.82 states/eV/f.u.
spin magnetization = 0.00 μB/cell
E_form (uncorrected) = -0.53 eV/atom

---

Entry 17:
The following is a DFT calculation (PBE) of an optimized crystal structure of La5YSb6.

Lattice parameters (Å, degrees): 7.9482 7.9464 7.9477 60.01 80.39 70.49
Fractional coordinates of all 12 atoms:
La: 0.5000 0.1687 0.6626
La: 0.0000 0.3341 0.3317
La: 0.5000 0.5000 0.0000
La: 0.0000 0.6659 0.6683
La: 0.5000 0.8313 0.3374
Y: 0.0000 0.0000 0.0000
Sb: 0.7550 0.0815 0.3267
Sb: 0.2450 0.5918 0.3267
Sb: 0.2473 0.2437 0.0000
Sb: 0.7527 0.7563 0.0000
Sb: 0.7550 0.4082 0.6733
Sb: 0.2450 0.9185 0.6733

Summary:
symmetry = C2/m, No. 12
DOS at the Fermi energy = 1.01 states/eV/f.u.
spin magnetization = 0.00 μB/cell
E_form (uncorrected) = -1.25 eV/atom

---

Entry 18:
The following is a DFT calculation (PBE) of an optimized crystal structure of LaY2Sb3.

Lattice parameters (Å, degrees): 4.4736 6.3360 7.7370 114.17 106.80 90.00
Fractional coordinates of all 6 atoms:
La: 0.0000 0.5000 0.0000
Y: 0.6649 0.1649 0.3298
Y: 0.3351 0.8351 0.6702
Sb: 0.3264 0.3264 0.6529
Sb: 0.0000 0.0000 0.0000
Sb: 0.6736 0.6736 0.3471

Summary:
symmetry = Immm, No. 71
DOS at the Fermi energy = 1.05 states/eV/f.u.
spin magnetization = 0.00 μB/cell
E_form (uncorrected) = -1.19 eV/atom

---

Entry 19:
The following is a DFT calculation (PBE) of an optimized crystal structure of LaY4Sb5.

Lattice parameters (Å, degrees): 4.4380 6.2870 11.7356 105.54 100.90 90.00
Fractional coordinates of all 10 atoms:
La: 0.0000 0.0000 0.0000
Y: 0.3993 0.3993 0.7986
Y: 0.7974 0.7974 0.5948
Y: 0.2026 0.2026 0.4052
Y: 0.6007 0.6007 0.2014
Sb: 0.6049 0.1049 0.2098
Sb: 0.8007 0.3007 0.6015
Sb: 0.1993 0.6993 0.3985
Sb: 0.0000 0.5000 0.0000
Sb: 0.3951 0.8951 0.7902

Summary:
symmetry = Immm, No. 71
DOS at the Fermi energy = 1.95 states/eV/f.u.
spin magnetization = 0.00 μB/cell
E_form (uncorrected) = -1.18 eV/atom

---

Entry 20:
The following is a DFT calculation (PBE) of an optimized crystal structure of La4ZnSb.

Lattice parameters (Å, degrees): 6.4371 6.4371 6.4371 60.00 60.00 60.00
Fractional coordinates of all 6 atoms:
La: 0.8711 0.3763 0.3763
La: 0.3763 0.3763 0.8711
La: 0.3763 0.8711 0.3763
La: 0.3763 0.3763 0.3763
Zn: 0.0000 0.0000 0.0000
Sb: 0.7500 0.7500 0.7500

Summary:
symmetry = F-43m, No. 216
ΔE to the lowest computed polymorph = 546 meV per atom
DOS at the Fermi energy = 7.72 states/eV/f.u.
spin magnetization = 0.00 μB/cell
E_form (uncorrected) = 0.09 eV/atom

---

| no. | energy (eV per cell) |
| --- | --- |
| 1 | -36.29 |
| 2 | -22.55 |
| 3 | -17.53 |
| 4 | -56.81 |
| 5 | -72.16 |
| 6 | -21.77 |
| 7 | -22.02 |
| 8 | -17.42 |
| 9 | -22.62 |
| 10 | -24.88 |
| 11 | -29.50 |
| 12 | -59.62 |
| 13 | -50.29 |
| 14 | -21.88 |
| 15 | -22.50 |
| 16 | -17.11 |
| 17 | -70.87 |
| 18 | -37.37 |
| 19 | -63.18 |
| 20 | -24.57 |